[1]
Computed, not measured: a geometry-optimized NbCuNi2As structure at the PBE level of DFT.

Summary:
The space group is P4/mmm. The calculation puts the formation energy at 1.163 eV per atom.

Cell: 4.5537 4.5537 4.9072 Å, 90.00 90.00 90.00°
Closest atoms and distances in Å follow each position.
Fractional coordinates of all 5 atoms:
Nb  0.0000  0.0000  0.0000  4 Ni 2.28, 2 As 2.45
Cu  0.5000  0.5000  0.5000  4 As 3.22, 8 Ni 3.35
Ni  0.0000  0.5000  0.0000  2 Nb 2.28
Ni  0.5000  0.0000  0.0000  2 Nb 2.28
As  0.0000  0.0000  0.5000  2 Nb 2.45

---

[2]
Computed, not measured: a geometry-optimized MnCuS2 structure at the PBE level of DFT.

Summary:
The space group is Pna2_1. For the uncorrected formation energy, the calculation gives -0.27 eV/atom.

Cell: 6.3025 7.1172 6.0292 Å, 90.00 90.00 90.00°
Closest atoms and distances in Å follow each position.
Fractional coordinates of all 16 atoms:
Mn  0.0662  0.1225  0.0000  4 S 2.15-2.16
Mn  0.4338  0.6225  0.5000  4 S 2.15-2.16
Mn  0.5662  0.3775  0.0000  4 S 2.15-2.16
Mn  0.9338  0.8775  0.5000  4 S 2.15-2.16
Cu  0.0912  0.6099  0.9887  4 S 2.28-2.33
Cu  0.4088  0.1099  0.4887  4 S 2.28-2.33
Cu  0.5912  0.8901  0.9887  4 S 2.28-2.33
Cu  0.9088  0.3901  0.4887  4 S 2.28-2.33
S  0.0735  0.1270  0.6414  2 Mn 2.16, 2 Cu 2.31-2.33
S  0.1095  0.6356  0.6103  2 Mn 2.15, 2 Cu 2.28-2.29
S  0.3905  0.1356  0.1103  2 Mn 2.15, 2 Cu 2.28-2.29
S  0.4265  0.6270  0.1414  2 Mn 2.16, 2 Cu 2.31-2.33
S  0.5735  0.3730  0.6414  2 Mn 2.16, 2 Cu 2.31-2.33
S  0.6095  0.8644  0.6103  2 Mn 2.15, 2 Cu 2.28-2.29
S  0.8905  0.3644  0.1103  2 Mn 2.15, 2 Cu 2.28-2.29
S  0.9265  0.8730  0.1414  2 Mn 2.16, 2 Cu 2.31-2.33

---

[3]
Computed, not measured: a geometry-optimized TbPr3Y3 structure at the PBE level of DFT.

Summary:
The space group is R3m. Its energy above the most stable polymorph in this dataset is 8 meV/atom. The calculation puts the formation energy at 0.255 eV per atom.

Cell: 6.6600 6.6600 6.6600 Å, 107.71 107.71 107.71°
Closest atoms and distances in Å follow each position.
Fractional coordinates of all 7 atoms:
Tb  0.0000  0.0000  0.0000  3 Pr 3.04, 3 Y 3.38
Pr  0.0412  0.0412  0.4803  1 Tb 3.04, 3 Y 3.39
Pr  0.0412  0.4803  0.0412  1 Tb 3.04, 3 Y 3.39
Pr  0.4803  0.0412  0.0412  1 Tb 3.04, 3 Y 3.39
Y  0.5316  0.5316  0.8975  1 Tb 3.38, 5 Pr 3.39-3.62
Y  0.5316  0.8975  0.5316  1 Tb 3.38, 5 Pr 3.39-3.62
Y  0.8975  0.5316  0.5316  1 Tb 3.38, 5 Pr 3.39-3.62

---

[4]
Computed, not measured: a geometry-optimized K2TaAg structure at the PBE level of DFT.

Summary:
The space group is P2/m. Its energy above the most stable polymorph in this dataset is 301 meV/atom. The calculation puts the formation energy at 1.100 eV per atom.

Cell: 2.8633 6.1647 5.9380 Å, 90.00 93.46 90.00°
Closest atoms and distances in Å follow each position.
Fractional coordinates of all 4 atoms:
K  0.2315  0.0000  0.2576  3 K 2.86-3.18
K  0.7685  0.0000  0.7424  3 K 2.86-3.18
Ta  0.5000  0.5000  0.0000  2 Ta 2.86
Ag  0.0000  0.5000  0.5000  2 Ag 2.86

---

[5]
Computed, not measured: a geometry-optimized LiTeRu2 structure at the PBE level of DFT.

Summary:
The space group is Pm. For the uncorrected formation energy, the calculation gives 0.21 eV/atom.

Cell: 2.9246 3.8036 6.0887 Å, 90.00 103.81 90.00°
Closest atoms and distances in Å follow each position.
Fractional coordinates of all 4 atoms:
Li  0.0000  0.0000  0.0000  5 Ru 2.56-2.81, 4 Te 2.74-2.75
Te  0.3882  0.5000  0.7743  4 Li 2.74-2.75, 3 Ru 2.77-2.80, 2 Te 2.92
Ru  0.2137  0.0000  0.4334  1 Li 2.56, 4 Ru 2.64, 2 Te 2.77
Ru  0.6217  0.5000  0.2477  6 Ru 2.64-2.92, 1 Te 2.80, 4 Li 2.81

---

[6]
Computed, not measured: a geometry-optimized CsK2AgSn structure at the PBE level of DFT.

Summary:
The space group is P4/mmm. Its energy above the most stable polymorph in this dataset is 0 meV/atom. The calculation puts the formation energy at -0.022 eV per atom.

Cell: 6.5599 6.5599 5.3405 Å, 90.00 90.00 90.00°
Closest atoms and distances in Å follow each position.
Fractional coordinates of all 5 atoms:
Cs  0.0000  0.0000  0.0000  8 K 4.23, 4 Sn 4.64
K  0.0000  0.5000  0.5000  2 Ag 3.28
K  0.5000  0.0000  0.5000  2 Ag 3.28
Ag  0.5000  0.5000  0.5000  2 Sn 2.67
Sn  0.5000  0.5000  0.0000  2 Ag 2.67

---

[7]
Computed, not measured: a geometry-optimized Tb2Nd2Y3 structure at the PBE level of DFT.

Summary:
The space group is I2_13. Its energy above the most stable polymorph in this dataset is 91 meV/atom. The calculation puts the formation energy at 0.222 eV per atom.

Cell: 8.4983 8.4983 8.4983 Å, 109.47 109.47 109.47°
Closest atoms and distances in Å follow each position.
Fractional coordinates of all 14 atoms:
Tb  0.0000  0.0819  0.5000  6 Y 3.26-3.33, 1 Nd 3.35
Tb  0.0819  0.5000  0.0000  6 Y 3.26-3.33, 1 Nd 3.35
Tb  0.4181  0.4181  0.4181  6 Y 3.26-3.33, 1 Nd 3.35
Tb  0.5000  0.0000  0.0819  6 Y 3.26-3.33, 1 Nd 3.35
Nd  0.0000  0.6874  0.5000  1 Tb 3.35, 3 Y 3.52, 3 Nd 3.58
Nd  0.5000  0.0000  0.6874  1 Tb 3.35, 3 Y 3.52, 3 Nd 3.58
Nd  0.6874  0.5000  0.0000  1 Tb 3.35, 3 Y 3.52, 3 Nd 3.58
Nd  0.8126  0.8126  0.8126  1 Tb 3.35, 3 Y 3.52, 3 Nd 3.58
Y  0.1950  0.9450  0.2500  4 Tb 3.26-3.33, 2 Nd 3.52
Y  0.2500  0.1950  0.9450  4 Tb 3.26-3.33, 2 Nd 3.52
Y  0.3050  0.5550  0.7500  4 Tb 3.26-3.33, 2 Nd 3.52
Y  0.5550  0.7500  0.3050  4 Tb 3.26-3.33, 2 Nd 3.52
Y  0.7500  0.3050  0.5550  4 Tb 3.26-3.33, 2 Nd 3.52
Y  0.9450  0.2500  0.1950  4 Tb 3.26-3.33, 2 Nd 3.52

---

[8]
Computed, not measured: a geometry-optimized Th2Pt structure at the PBE level of DFT.

Summary:
The space group is I4/mcm. The calculation puts the formation energy at -0.766 eV per atom.

Cell: 5.9830 5.9830 5.9830 Å, 103.98 103.98 121.13°
Closest atoms and distances in Å follow each position.
Fractional coordinates of all 6 atoms:
Th  0.1622  0.6622  0.8244  4 Pt 3.13, 3 Th 3.38-3.46
Th  0.3378  0.1622  0.5000  4 Pt 3.13, 3 Th 3.38-3.46
Th  0.6622  0.8378  0.5000  4 Pt 3.13, 3 Th 3.38-3.46
Th  0.8378  0.3378  0.1756  4 Pt 3.13, 3 Th 3.38-3.46
Pt  0.2500  0.2500  0.0000  2 Pt 2.94, 8 Th 3.13
Pt  0.7500  0.7500  0.0000  2 Pt 2.94, 8 Th 3.13